[1]
# Pa2SiB3

An optimized crystal structure of Pa2SiB3 (PBE, Alexandria via LeMat-Bulk).

Geometry as POSCAR:
```
Pa2SiB3
1.0
0.000 4.213 5.793
3.352 0.000 5.793
3.352 4.213 0.000
Pa Si B
4 2 6
Direct
0.242 0.758 0.242
0.250 0.250 0.250
0.750 0.750 0.750
0.758 0.242 0.758
0.335 0.335 0.665
0.665 0.665 0.335
0.154 0.692 0.846
0.155 0.155 0.845
0.308 0.846 0.692
0.692 0.154 0.308
0.845 0.845 0.155
0.846 0.308 0.154
```

Values from the calculation:
The volume comes out at 164 Å³/cell. Its density of states at the Fermi level is 3.270 states/eV/f.u. The energy relative to the lowest polymorph listed for this composition is 0 meV/atom. As for the uncorrected formation energy: -0.61 eV/atom. The calculation puts the total magnetization at 0.000 μB/f.u. The symmetry is Fmmm.

[2]
# Pa2SiB

An optimized crystal structure of Pa2SiB (PBE, Alexandria via LeMat-Bulk).

Geometry as POSCAR:
```
Pa2SiB
1.0
0.000 4.167 4.233
3.899 0.000 4.233
3.899 4.167 0.000
Pa Si B
4 2 2
Direct
0.179 0.821 0.821
0.250 0.250 0.250
0.750 0.750 0.750
0.821 0.179 0.179
0.325 0.675 0.325
0.675 0.325 0.675
0.311 0.311 0.689
0.689 0.689 0.311
```

Values from the calculation:
The volume comes out at 138 Å³/cell. Its density of states at the Fermi level is 5.222 states/eV/f.u. The energy relative to the lowest polymorph listed for this composition is 14 meV/atom. As for the uncorrected formation energy: -0.15 eV/atom. The calculation puts the total magnetization at 0.000 μB/f.u. The symmetry is Fmmm.

[3]
# Pa2SiB

An optimized crystal structure of Pa2SiB (PBE, Alexandria via LeMat-Bulk).

Geometry as POSCAR:
```
Pa2SiB
1.0
3.846 0.000 0.000
-1.923 3.331 0.000
0.000 0.000 19.642
Pa Si B
6 3 3
Direct
0.000 0.000 0.240
0.000 0.000 0.760
0.333 0.667 0.427
0.333 0.667 0.906
0.667 0.333 0.094
0.667 0.333 0.573
0.000 0.000 0.000
0.333 0.667 0.667
0.667 0.333 0.333
0.000 0.000 0.500
0.333 0.667 0.167
0.667 0.333 0.833
```

Values from the calculation:
The volume comes out at 252 Å³/cell. Its density of states at the Fermi level is 5.713 states/eV/f.u. The energy relative to the lowest polymorph listed for this composition is 0 meV/atom. As for the uncorrected formation energy: -0.16 eV/atom. The calculation puts the total magnetization at 0.000 μB/f.u. The symmetry is R-3m.

[4]
# PaSiB3

An optimized crystal structure of PaSiB3 (PBE, Alexandria via LeMat-Bulk).

Geometry as POSCAR:
```
PaSiB3
1.0
1.789 -8.504 0.000
1.789 8.504 0.000
0.000 0.000 4.025
Pa Si B
2 2 6
Direct
0.167 0.833 0.000
0.833 0.167 0.000
0.399 0.601 0.500
0.601 0.399 0.500
0.049 0.951 0.500
0.276 0.724 0.500
0.450 0.550 0.000
0.550 0.450 0.000
0.724 0.276 0.500
0.951 0.049 0.500
```

Values from the calculation:
The volume comes out at 122 Å³/cell. Its density of states at the Fermi level is 3.108 states/eV/f.u. As for the uncorrected formation energy: 0.04 eV/atom. The calculation puts the total magnetization at 0.000 μB/f.u. The symmetry is Cmmm.

[5]
# PaSiB4

An optimized crystal structure of PaSiB4 (PBE, Alexandria via LeMat-Bulk).

Geometry as POSCAR:
```
PaSiB4
1.0
3.174 0.000 0.000
0.000 4.874 0.000
0.000 0.000 8.532
Pa Si B
2 2 8
Direct
0.000 0.000 0.000
0.500 0.500 0.500
0.000 0.000 0.500
0.500 0.500 0.000
0.000 0.302 0.282
0.000 0.302 0.718
0.000 0.698 0.282
0.000 0.698 0.718
0.500 0.198 0.218
0.500 0.198 0.782
0.500 0.802 0.218
0.500 0.802 0.782
```

Values from the calculation:
The volume comes out at 132 Å³/cell. Its density of states at the Fermi level is 2.518 states/eV/f.u. As for the uncorrected formation energy: -0.19 eV/atom. The calculation puts the total magnetization at 0.000 μB/f.u. The symmetry is Immm.

[6]
# Pa2SiB3

An optimized crystal structure of Pa2SiB3 (PBE, Alexandria via LeMat-Bulk).

Geometry as POSCAR:
```
Pa2SiB3
1.0
3.382 0.000 0.000
-1.691 2.929 0.000
0.000 0.000 16.638
Pa Si B
4 2 6
Direct
0.000 0.000 0.117
0.000 0.000 0.383
0.000 0.000 0.617
0.000 0.000 0.883
0.333 0.667 0.250
0.667 0.333 0.750
0.333 0.667 0.000
0.333 0.667 0.500
0.333 0.667 0.750
0.667 0.333 0.000
0.667 0.333 0.250
0.667 0.333 0.500
```

Values from the calculation:
The volume comes out at 165 Å³/cell. Its density of states at the Fermi level is 4.499 states/eV/f.u. The energy relative to the lowest polymorph listed for this composition is 50 meV/atom. As for the uncorrected formation energy: -0.55 eV/atom. The calculation puts the total magnetization at 0.000 μB/f.u. The symmetry is P6_3/mmc.